Entry 1:
# YCdPd4 PBE relaxed
# Calculated volume, Å³/atom: 17.84
# D(E_F), states/eV per cell: 2.4
data_YCdPd4
_symmetry_space_group_name_H-M 'P 1'
_symmetry_Int_Tables_number 1
_cell_length_a 5.147
_cell_length_b 5.147
_cell_length_c 6.158
_cell_angle_alpha 108.67
_cell_angle_beta 108.67
_cell_angle_gamma 44.38
loop_
_symmetry_equiv_pos_as_xyz
'x,y,z'
loop_
_atom_site_label
_atom_site_fract_x
_atom_site_fract_y
_atom_site_fract_z
Y1 0.000 0.000 0.000
Cd1 0.000 0.000 0.500
Pd1 0.332 0.332 0.177
Pd2 0.334 0.334 0.661
Pd3 0.666 0.666 0.339
Pd4 0.668 0.668 0.823

Entry 2:
# YCd2Pd2 PBE relaxed
# Distance to the lowest polymorph of the same formula, kJ/mol of atoms: 12.0
# Calculated volume, Å³/atom: 20.08
# D(E_F), states/eV per cell: 5.2
data_YCd2Pd2
_symmetry_space_group_name_H-M 'P 1'
_symmetry_Int_Tables_number 1
_cell_length_a 7.954
_cell_length_b 7.954
_cell_length_c 3.174
_cell_angle_alpha 90.00
_cell_angle_beta 90.00
_cell_angle_gamma 90.00
loop_
_symmetry_equiv_pos_as_xyz
'x,y,z'
loop_
_atom_site_label
_atom_site_fract_x
_atom_site_fract_y
_atom_site_fract_z
Y1 0.000 0.000 0.000
Y2 0.500 0.500 0.000
Cd1 0.123 0.377 0.000
Cd2 0.377 0.877 0.000
Cd3 0.623 0.123 0.000
Cd4 0.877 0.623 0.000
Pd1 0.177 0.677 0.500
Pd2 0.323 0.177 0.500
Pd3 0.677 0.823 0.500
Pd4 0.823 0.323 0.500

Entry 3:
# Y2CdPd4 PBE relaxed
# Distance to the lowest polymorph of the same formula, kJ/mol of atoms: 53.0
# Calculated volume, Å³/atom: 24.57
# D(E_F), states/eV per cell: 4.1
data_Y2CdPd4
_symmetry_space_group_name_H-M 'P 1'
_symmetry_Int_Tables_number 1
_cell_length_a 7.896
_cell_length_b 7.896
_cell_length_c 7.896
_cell_angle_alpha 143.64
_cell_angle_beta 143.64
_cell_angle_gamma 52.37
loop_
_symmetry_equiv_pos_as_xyz
'x,y,z'
loop_
_atom_site_label
_atom_site_fract_x
_atom_site_fract_y
_atom_site_fract_z
Y1 0.129 0.129 0.000
Y2 0.871 0.871 0.000
Cd1 0.500 0.500 0.000
Pd1 0.000 0.500 0.500
Pd2 0.312 0.312 0.000
Pd3 0.500 0.000 0.500
Pd4 0.688 0.688 0.000

Entry 4:
# Y3Cd2Pd PBE relaxed
# Calculated volume, Å³/atom: 24.74
# D(E_F), states/eV per cell: 9.0
data_Y3Cd2Pd
_symmetry_space_group_name_H-M 'P 1'
_symmetry_Int_Tables_number 1
_cell_length_a 5.154
_cell_length_b 7.421
_cell_length_c 8.179
_cell_angle_alpha 90.00
_cell_angle_beta 108.35
_cell_angle_gamma 90.00
loop_
_symmetry_equiv_pos_as_xyz
'x,y,z'
loop_
_atom_site_label
_atom_site_fract_x
_atom_site_fract_y
_atom_site_fract_z
Y1 0.000 0.241 0.000
Y2 0.000 0.759 0.000
Y3 0.328 0.231 0.656
Y4 0.328 0.769 0.656
Y5 0.672 0.231 0.344
Y6 0.672 0.769 0.344
Cd1 0.167 0.500 0.333
Cd2 0.500 0.000 0.000
Cd3 0.500 0.500 0.000
Cd4 0.833 0.500 0.667
Pd1 0.155 0.000 0.308
Pd2 0.845 0.000 0.692

Entry 5:
# YCd5Pd PBE relaxed
# Calculated volume, Å³/atom: 23.17
# D(E_F), states/eV per cell: 4.1
data_YCd5Pd
_symmetry_space_group_name_H-M 'P 1'
_symmetry_Int_Tables_number 1
_cell_length_a 4.729
_cell_length_b 4.729
_cell_length_c 7.254
_cell_angle_alpha 90.00
_cell_angle_beta 90.00
_cell_angle_gamma 90.00
loop_
_symmetry_equiv_pos_as_xyz
'x,y,z'
loop_
_atom_site_label
_atom_site_fract_x
_atom_site_fract_y
_atom_site_fract_z
Y1 0.000 0.000 0.000
Cd1 0.000 0.500 0.294
Cd2 0.000 0.500 0.706
Cd3 0.500 0.000 0.294
Cd4 0.500 0.000 0.706
Cd5 0.500 0.500 0.000
Pd1 0.000 0.000 0.500

Entry 6:
# Y6Cd2Pd PBE relaxed
# Calculated volume, Å³/atom: 29.63
# D(E_F), states/eV per cell: 20.4
data_Y6Cd2Pd
_symmetry_space_group_name_H-M 'P 1'
_symmetry_Int_Tables_number 1
_cell_length_a 6.787
_cell_length_b 7.486
_cell_length_c 12.303
_cell_angle_alpha 90.00
_cell_angle_beta 121.43
_cell_angle_gamma 90.00
loop_
_symmetry_equiv_pos_as_xyz
'x,y,z'
loop_
_atom_site_label
_atom_site_fract_x
_atom_site_fract_y
_atom_site_fract_z
Y1 0.121 0.011 0.245
Y2 0.121 0.489 0.745
Y3 0.199 0.697 0.045
Y4 0.199 0.803 0.545
Y5 0.364 0.174 0.046
Y6 0.364 0.326 0.546
Y7 0.636 0.674 0.454
Y8 0.636 0.826 0.954
Y9 0.801 0.197 0.455
Y10 0.801 0.303 0.955
Y11 0.879 0.511 0.255
Y12 0.879 0.989 0.755
Cd1 0.321 0.104 0.752
Cd2 0.321 0.396 0.252
Cd3 0.679 0.604 0.748
Cd4 0.679 0.896 0.248
Pd1 0.500 0.000 0.500
Pd2 0.500 0.500 0.000

Entry 7:
# YCdPd4 PBE relaxed
# Calculated volume, Å³/atom: 17.90
# D(E_F), states/eV per cell: 2.5
data_YCdPd4
_symmetry_space_group_name_H-M 'P 1'
_symmetry_Int_Tables_number 1
_cell_length_a 5.091
_cell_length_b 5.091
_cell_length_c 4.995
_cell_angle_alpha 96.85
_cell_angle_beta 96.85
_cell_angle_gamma 121.21
loop_
_symmetry_equiv_pos_as_xyz
'x,y,z'
loop_
_atom_site_label
_atom_site_fract_x
_atom_site_fract_y
_atom_site_fract_z
Y1 0.000 0.000 0.000
Cd1 0.500 0.500 0.500
Pd1 0.172 0.828 0.500
Pd2 0.335 0.665 0.000
Pd3 0.665 0.335 0.000
Pd4 0.828 0.172 0.500

Entry 8:
# YCdPd3 PBE relaxed
# Distance to the lowest polymorph of the same formula, kJ/mol of atoms: 56.2
# Calculated volume, Å³/atom: 23.82
# D(E_F), states/eV per cell: 2.9
data_YCdPd3
_symmetry_space_group_name_H-M 'P 1'
_symmetry_Int_Tables_number 1
_cell_length_a 4.920
_cell_length_b 4.920
_cell_length_c 4.920
_cell_angle_alpha 90.00
_cell_angle_beta 90.00
_cell_angle_gamma 90.00
loop_
_symmetry_equiv_pos_as_xyz
'x,y,z'
loop_
_atom_site_label
_atom_site_fract_x
_atom_site_fract_y
_atom_site_fract_z
Y1 0.000 0.000 0.000
Cd1 0.500 0.500 0.500
Pd1 0.000 0.500 0.500
Pd2 0.500 0.000 0.500
Pd3 0.500 0.500 0.000

Entry 9:
# Y2Cd3Pd2 PBE relaxed
# Distance to the lowest polymorph of the same formula, kJ/mol of atoms: 0.0
# Calculated volume, Å³/atom: 22.00
# D(E_F), states/eV per cell: 3.6
data_Y2Cd3Pd2
_symmetry_space_group_name_H-M 'P 1'
_symmetry_Int_Tables_number 1
_cell_length_a 5.402
_cell_length_b 5.402
_cell_length_c 7.446
_cell_angle_alpha 108.32
_cell_angle_beta 108.32
_cell_angle_gamma 49.05
loop_
_symmetry_equiv_pos_as_xyz
'x,y,z'
loop_
_atom_site_label
_atom_site_fract_x
_atom_site_fract_y
_atom_site_fract_z
Y1 0.139 0.139 0.282
Y2 0.861 0.861 0.718
Cd1 0.372 0.372 0.059
Cd2 0.500 0.500 0.500
Cd3 0.628 0.628 0.941
Pd1 0.154 0.154 0.692
Pd2 0.846 0.846 0.308

Entry 10:
# Y7Cd2Pd2 PBE relaxed
# Calculated volume, Å³/atom: 29.22
# D(E_F), states/eV per cell: 13.1
data_Y7Cd2Pd2
_symmetry_space_group_name_H-M 'P 1'
_symmetry_Int_Tables_number 1
_cell_length_a 6.863
_cell_length_b 6.863
_cell_length_c 7.182
_cell_angle_alpha 90.00
_cell_angle_beta 90.00
_cell_angle_gamma 108.18
loop_
_symmetry_equiv_pos_as_xyz
'x,y,z'
loop_
_atom_site_label
_atom_site_fract_x
_atom_site_fract_y
_atom_site_fract_z
Y1 0.000 0.000 0.000
Y2 0.000 0.500 0.258
Y3 0.000 0.500 0.742
Y4 0.500 0.000 0.258
Y5 0.500 0.000 0.742
Y6 0.500 0.500 0.250
Y7 0.500 0.500 0.750
Cd1 0.174 0.174 0.500
Cd2 0.826 0.826 0.500
Pd1 0.291 0.709 0.000
Pd2 0.709 0.291 0.000

Entry 11:
# YCdPd14 PBE relaxed
# Calculated volume, Å³/atom: 16.20
# D(E_F), states/eV per cell: 29.1
data_YCdPd14
_symmetry_space_group_name_H-M 'P 1'
_symmetry_Int_Tables_number 1
_cell_length_a 5.687
_cell_length_b 5.687
_cell_length_c 8.016
_cell_angle_alpha 90.00
_cell_angle_beta 90.00
_cell_angle_gamma 90.00
loop_
_symmetry_equiv_pos_as_xyz
'x,y,z'
loop_
_atom_site_label
_atom_site_fract_x
_atom_site_fract_y
_atom_site_fract_z
Y1 0.000 0.000 0.000
Cd1 0.500 0.500 0.000
Pd1 0.000 0.000 0.500
Pd2 0.000 0.500 0.000
Pd3 0.000 0.500 0.500
Pd4 0.251 0.251 0.257
Pd5 0.251 0.251 0.743
Pd6 0.251 0.749 0.257
Pd7 0.251 0.749 0.743
Pd8 0.500 0.000 0.000
Pd9 0.500 0.000 0.500
Pd10 0.500 0.500 0.500
Pd11 0.749 0.251 0.257
Pd12 0.749 0.251 0.743
Pd13 0.749 0.749 0.257
Pd14 0.749 0.749 0.743

Entry 12:
# YCdPd3 PBE relaxed
# Distance to the lowest polymorph of the same formula, kJ/mol of atoms: 0.0
# Calculated volume, Å³/atom: 20.56
# D(E_F), states/eV per cell: 3.9
data_YCdPd3
_symmetry_space_group_name_H-M 'P 1'
_symmetry_Int_Tables_number 1
_cell_length_a 6.584
_cell_length_b 6.584
_cell_length_c 5.472
_cell_angle_alpha 90.00
_cell_angle_beta 90.00
_cell_angle_gamma 120.00
loop_
_symmetry_equiv_pos_as_xyz
'x,y,z'
loop_
_atom_site_label
_atom_site_fract_x
_atom_site_fract_y
_atom_site_fract_z
Y1 0.333 0.667 0.250
Y2 0.667 0.333 0.750
Cd1 0.000 0.000 0.000
Cd2 0.000 0.000 0.500
Pd1 0.200 0.401 0.750
Pd2 0.200 0.800 0.750
Pd3 0.401 0.200 0.250
Pd4 0.599 0.800 0.750
Pd5 0.800 0.200 0.250
Pd6 0.800 0.599 0.250

| no. | calculated total energy (eV/atom) | M_tot (Bohr magnetons per cell) | ΔE_f (meV per atom) |
| --- | --- | --- | --- |
| 1 | -5.27 | 0.00 | -578 |
| 2 | -4.16 | 0.36 | -422 |
| 3 | -5.05 | 0.00 | -105 |
| 4 | -4.92 | 0.00 | -517 |
| 5 | -2.62 | 0.00 | -300 |
| 6 | -5.31 | 0.00 | -222 |
| 7 | -5.25 | 0.00 | -553 |
| 8 | -4.44 | 0.00 | 153 |
| 9 | -4.33 | 0.00 | -604 |
| 10 | -5.51 | 0.00 | -288 |
| 11 | -5.26 | 0.00 | -255 |
| 12 | -5.02 | 0.00 | -429 |